La2GdEr (PBE, relaxed); crystal system = trigonal; energy above the most stable polymorph in this dataset = 0 meV/atom
1.0
-3.6637 0.0000 0.0000
-1.8319 -3.1729 0.0000
-1.8319 -1.0576 11.7416
La Gd Er
2 1 1
direct
0.2509 0.2509 0.2474 La
0.7491 0.7491 0.7526 La
0.5000 0.5000 0.5000 Gd
0.0000 0.0000 0.0000 Er